# NiRhIO2, optimized geometry, DFT PBE with a Hubbard U
# space-group type: P4/mmm, No. 123
# raw total energy: -0.159 Ha/atom
# relative energy among the computed polymorphs: 0 meV per atom
data_NiRhIO2
_space_group_name_H-M_alt 'P 1'
_space_group_IT_number 1
_space_group_name_Hall 'P 1'
_cell_length_a 3.759
_cell_length_b 3.759
_cell_length_c 7.892
_cell_angle_alpha 90.00
_cell_angle_beta 90.00
_cell_angle_gamma 90.00
loop_
_atom_site_label
_atom_site_fract_x
_atom_site_fract_y
_atom_site_fract_z
_atom_site_occupancy
Ni1 0.000 0.000 0.000 1
Rh1 0.500 0.500 0.500 1
I1 0.500 0.500 0.000 1
O1 0.000 0.500 0.500 1
O2 0.500 0.000 0.500 1